i | DFT (PBE) results for a relaxed structure of PmHoZnIn.

Results
The value obtained for the density of states at the Fermi level is 0.966 states/eV/atom. The value obtained for the total magnetization is 0.00 Bohr magnetons per cell.

a = 7.439 Å, b = 7.439 Å, c = 7.439 Å
α = 90.00°, β = 90.00°, γ = 90.00°
Space group F-43m (No. 216)
One atom of each set of equivalent atoms:
Pm 0.000 0.000 0.000 [4 per cell]
Ho 0.000 0.000 0.500 [4 per cell]
Zn 0.250 0.250 0.750 [4 per cell]
In 0.250 0.250 0.250 [4 per cell]


ii | DFT (PBE) results for a relaxed structure of PmHoZnIn.

Results
The value obtained for the density of states at the Fermi level is 0.842 states/eV/atom. The value obtained for the total magnetization is 0.00 Bohr magnetons per cell.

a = 3.674 Å, b = 3.674 Å, c = 7.533 Å
α = 90.00°, β = 90.00°, γ = 90.00°
Space group P4mm (No. 99)
One atom of each set of equivalent atoms:
Pm 0.000 0.000 0.000 [1 per cell]
Ho 0.000 0.000 0.461 [1 per cell]
Zn 0.500 0.500 0.247 [1 per cell]
In 0.500 0.500 0.720 [1 per cell]


Referenced to the most stable arrangement, the calculated values in kJ/mol of atoms are i 2.3; ii 0.0.


i | DFT (PBE) results for a relaxed structure of Pr3HoIn3.

Results
The value obtained for the density of states at the Fermi level is 1.118 states/eV/atom. The value obtained for the total magnetization is 0.00 Bohr magnetons per cell.

a = 9.574 Å, b = 9.574 Å, c = 9.574 Å
α = 90.00°, β = 90.00°, γ = 90.00°
Space group P2_13 (No. 198)
One atom of each set of equivalent atoms:
Pr 0.068 0.432 0.568 [4 per cell]
Pr 0.168 0.832 0.332 [4 per cell]
Pr 0.178 0.178 0.178 [4 per cell]
Ho 0.077 0.577 0.923 [4 per cell]
In 0.006 0.256 0.866 [12 per cell]


ii | DFT (PBE) results for a relaxed structure of Pr3HoIn3.

Results
The value obtained for the density of states at the Fermi level is 1.147 states/eV/atom. The value obtained for the total magnetization is 0.00 Bohr magnetons per cell.

a = 8.342 Å, b = 10.795 Å, c = 9.855 Å
α = 90.00°, β = 91.88°, γ = 90.00°
Space group C2/m (No. 12)
One atom of each set of equivalent atoms:
Pr 0.000 0.180 0.000 [4 per cell]
Pr 0.000 0.237 0.500 [4 per cell]
Pr 0.095 0.500 0.819 [4 per cell]
Ho 0.220 0.500 0.460 [4 per cell]
In 0.022 0.000 0.270 [4 per cell]
In 0.235 0.287 0.240 [8 per cell]


Referenced to the most stable arrangement, the calculated values in kJ/mol of atoms are i 0.0; ii 4.7.